Record 1
Compound: MgAu2
Source: the Alexandria database
Functional: PBE
Structure: relaxed

Lattice parameters (Å, degrees): 10.555 10.555 10.555 161.64 161.64 26.07
Fractional positions:
Mg1 0.000 0.000 0.000
Mg2 0.750 0.250 0.500
Au1 0.179 0.679 0.500
Au2 0.321 0.821 0.500
Au3 0.429 0.429 0.000
Au4 0.571 0.571 0.000

Properties
electronic total energy: -0.22708 Ry per atom
formation energy: -0.373 eV per atom
SG: No. 141

=====

Record 2
Compound: LiZn2Re
Source: the Alexandria database
Functional: PBE
Structure: relaxed

Lattice parameters (Å, degrees): 4.326 4.326 4.326 60.00 60.00 60.00
Last column: magnetic moment on the atom in μB.
Fractional positions:
Re1 0.500 0.500 0.500  1.37
Zn1 0.250 0.250 0.250  0.00
Zn2 0.750 0.750 0.750  0.00
Li1 0.000 0.000 0.000  -0.02

Properties
electronic total energy: -0.28793 Ry per atom
formation energy: 0.310 eV per atom
energy above the most stable polymorph in this dataset: 321 meV per atom
SG: No. 225

=====

Record 3
Compound: ZnFePt3
Source: the Alexandria database
Functional: PBE
Structure: relaxed

Lattice parameters (Å, degrees): 4.634 4.632 7.495 85.15 72.04 74.50
Last column: magnetic moment on the atom in μB.
Fractional positions:
Zn1 0.857 0.844 0.006  -0.02
Zn2 0.554 0.344 0.609  -0.02
Fe1 0.351 0.344 0.016  3.10
Fe2 0.060 0.844 0.599  3.10
Pt1 0.151 0.344 0.417  0.14
Pt2 0.957 0.344 0.805  0.21
Pt3 0.647 0.844 0.425  0.18
Pt4 0.765 0.345 0.189  0.18
Pt5 0.261 0.845 0.198  0.14
Pt6 0.454 0.844 0.810  0.21

Properties
electronic total energy: -0.43265 Ry per atom
formation energy: -0.315 eV per atom
energy above the most stable polymorph in this dataset: 0 meV per atom
SG: No. 2

=====

Record 4
Compound: Al2InCl
Source: the Alexandria database
Functional: PBE
Structure: relaxed

Lattice parameters (Å, degrees): 4.963 4.963 4.963 60.00 60.00 60.00
Fractional positions:
Cl1 0.000 0.000 0.000
Al1 0.250 0.250 0.250
Al2 0.750 0.750 0.750
In1 0.500 0.500 0.500

Properties
electronic total energy: -0.21236 Ry per atom
energy above the most stable polymorph in this dataset: 341 meV per atom
formation energy from raw total energies: 128.2 meV per atom
SG: No. 225

=====

Record 5
Compound: KLi4Y
Source: the Alexandria database
Functional: PBE
Structure: relaxed

Lattice parameters (Å, degrees): 6.229 6.229 6.229 60.00 60.00 60.00
Last column: magnetic moment on the atom in μB.
Fractional positions:
K1 0.000 0.000 0.000  0.02
Li1 0.868 0.377 0.377  0.02
Li2 0.377 0.377 0.868  0.02
Li3 0.377 0.868 0.377  0.02
Li4 0.377 0.377 0.377  0.02
Y1 0.750 0.750 0.750  0.36

Properties
electronic total energy: -0.16737 Ry per atom
formation energy: 0.259 eV per atom
SG: No. 216

=====

Record 6
Compound: Nd8PPt3I3
Source: the Alexandria database
Functional: PBE
Structure: relaxed

Lattice parameters (Å, degrees): 8.578 8.575 9.197 117.81 90.00 120.01
Fractional positions:
Nd1 0.271 0.541 0.312
Nd2 0.729 0.459 0.688
Nd3 0.766 0.533 0.305
Nd4 0.234 0.467 0.695
Nd5 0.766 0.038 0.305
Nd6 0.234 0.962 0.695
Nd7 0.272 0.038 0.305
Nd8 0.728 0.962 0.695
P1 0.000 0.000 0.500
Pt1 0.500 0.000 0.500
Pt2 0.500 0.500 0.500
Pt3 0.000 0.500 0.500
I1 0.000 0.000 0.000
I2 0.000 0.500 0.000
I3 0.500 0.500 0.000

Properties
electronic total energy: -0.39951 Ry per atom
formation energy from raw total energies: -1013.9 meV per atom
SG: No. 12

=====

Record 7
Compound: YMn2ZnTe
Source: the Alexandria database
Functional: PBE
Structure: relaxed

Lattice parameters (Å, degrees): 4.684 5.411 4.684 90.00 90.00 90.00
Last column: magnetic moment on the atom in μB.
Fractional positions:
Y1 0.500 0.500 0.500  -0.28
Zn1 0.000 0.000 0.000  -0.06
Te1 0.000 0.500 0.000  0.05
Mn1 0.000 0.000 0.500  3.78
Mn2 0.500 0.000 0.000  3.62

Properties
electronic total energy: -0.39660 Ry per atom
formation energy from raw total energies: 447.8 meV per atom
SG: No. 123

=====

Record 8
Compound: NaLiTlAg
Source: the Alexandria database
Functional: PBE
Structure: relaxed

Lattice parameters (Å, degrees): 4.937 4.937 4.937 60.00 60.00 60.00
Fractional positions:
Na1 0.000 0.000 0.000
Tl1 0.500 0.500 0.500
Ag1 0.750 0.750 0.750
Li1 0.250 0.250 0.250

Properties
electronic total energy: -0.16294 Ry per atom
formation energy: -0.104 eV per atom
energy above the most stable polymorph in this dataset: 32 meV per atom
SG: No. 216

=====

Record 9
Compound: Mg2NiAg
Source: the Alexandria database
Functional: PBE
Structure: relaxed

Lattice parameters (Å, degrees): 7.115 7.115 5.764 51.89 51.89 90.00
Fractional positions:
Ni1 0.500 0.500 0.000
Ni2 0.250 0.750 0.500
Mg1 0.601 0.125 0.250
Mg2 0.149 0.625 0.250
Mg3 0.375 0.399 0.750
Mg4 0.875 0.851 0.750
Ag1 0.000 0.000 0.000
Ag2 0.750 0.250 0.500

Properties
electronic total energy: -0.20755 Ry per atom
formation energy: 0.132 eV per atom
SG: No. 122

=====

Record 10
Compound: Th2Cu3Si5
Source: the Alexandria database
Functional: PBE
Structure: relaxed

Lattice parameters (Å, degrees): 6.026 8.223 8.223 94.67 68.53 68.53
Fractional positions:
Th1 0.255 0.870 0.623
Th2 0.245 0.377 0.130
Th3 0.745 0.130 0.377
Th4 0.755 0.623 0.870
Cu1 0.114 0.252 0.514
Cu2 0.386 0.486 0.748
Cu3 0.886 0.748 0.486
Cu4 0.614 0.514 0.252
Cu5 0.250 0.001 0.999
Cu6 0.750 0.999 0.001
Si1 0.366 0.017 0.250
Si2 0.134 0.750 0.983
Si3 0.634 0.983 0.750
Si4 0.866 0.250 0.017
Si5 0.250 0.244 0.756
Si6 0.750 0.756 0.244
Si7 0.250 0.498 0.502
Si8 0.750 0.502 0.498
Si9 0.250 0.759 0.241
Si10 0.750 0.241 0.759

Properties
electronic total energy: -0.42994 Ry per atom
formation energy from raw total energies: -425.4 meV per atom
SG: No. 15

=====

Record 11
Compound: RbV3Se
Source: the Alexandria database
Functional: PBE
Structure: relaxed

Lattice parameters (Å, degrees): 5.104 5.104 5.104 90.00 90.00 90.00
Last column: magnetic moment on the atom in μB.
Fractional positions:
Rb1 0.500 0.500 0.500  0.09
Se1 0.000 0.000 0.000  -0.08
V1 0.000 0.500 0.000  2.98
V2 0.000 0.000 0.500  2.98
V3 0.500 0.000 0.000  2.98

Properties
electronic total energy: -0.39082 Ry per atom
energy above the most stable polymorph in this dataset: 0 meV per atom
formation energy from raw total energies: 1044.2 meV per atom
SG: No. 221

=====

Record 12
Compound: LiCdSe2
Source: the Alexandria database
Functional: PBE
Structure: relaxed

Lattice parameters (Å, degrees): 3.858 2.961 7.495 90.19 90.00 90.00
Fractional positions:
Cd1 0.500 0.250 0.250
Li1 0.500 0.750 0.750
Se1 0.000 0.060 0.983
Se2 0.000 0.440 0.517

Properties
electronic total energy: -0.21385 Ry per atom
formation energy from raw total energies: -460.1 meV per atom
SG: No. 10